KBOs3 | PBE | optimized geometry

a = 4.605 Å, b = 4.605 Å, c = 4.605 Å
α = 90.00°, β = 90.00°, γ = 90.00°
Space group Pm-3m (No. 221)
Unique sites:
K1 0.000 0.000 0.000
B1 0.500 0.500 0.500
Os1 0.000 0.000 0.500

Mass density: 10.56 g/cm3
E_tot: -3.525 eV per atom


CdPb4 | PBE | optimized geometry

a = 4.558 Å, b = 4.558 Å, c = 16.223 Å
α = 90.00°, β = 90.00°, γ = 90.00°
Space group I4/mmm (No. 139)
Unique sites:
Cd1 0.000 0.000 0.000
Pb1 0.000 0.000 0.402
Pb2 0.000 0.500 0.250

Mass density: 9.27 g/cm3
Energy relative to the lowest polymorph listed for this composition: 150.8 meV per atom